## CuBr4Cl (PBE-GGA)

Data for an optimized crystal structure of CuBr4Cl.

```
data_CuBr4Cl
_chemical_formula_sum 'Cu4 Br16 Cl4'
_symmetry_space_group_name_H-M 'F -4 3 m'
_symmetry_Int_Tables_number 216
_symmetry_space_group_name_Hall 'F -4 2 3'
_cell_length_a 8.586
_cell_length_b 8.586
_cell_length_c 8.586
_cell_angle_alpha 90.00
_cell_angle_beta 90.00
_cell_angle_gamma 90.00
loop_
_atom_site_label
_atom_site_type_symbol
_atom_site_fract_x
_atom_site_fract_y
_atom_site_fract_z
Cu1 Cu 0.000 0.000 0.000
Br1 Br 0.125 0.125 0.625
Cl1 Cl 0.250 0.250 0.250
```

Output
**Crystal system**: cubic
**Uncorrected formation energy**: 0.743 eV/atom
**Total energy**: -8.17 eV/f.u.
**Spin magnetization**: 0.0 μB/f.u.

## Ca2CdInI (PBE-GGA)

Data for an optimized crystal structure of Ca2CdInI.

```
data_Ca2CdInI
_chemical_formula_sum 'Ca2 Cd1 In1 I1'
_symmetry_space_group_name_H-M 'P 4/m m m'
_symmetry_Int_Tables_number 123
_symmetry_space_group_name_Hall '-P 4 2'
_cell_length_a 6.083
_cell_length_b 6.083
_cell_length_c 6.330
_cell_angle_alpha 90.00
_cell_angle_beta 90.00
_cell_angle_gamma 90.00
loop_
_atom_site_label
_atom_site_type_symbol
_atom_site_fract_x
_atom_site_fract_y
_atom_site_fract_z
Ca1 Ca 0.000 0.500 0.000
Cd1 Cd 0.000 0.000 0.500
In1 In 0.500 0.500 0.000
I1 I 0.500 0.500 0.500
```

Output
**Crystal system**: tetragonal
**Uncorrected formation energy**: -0.001 eV/atom
**Total energy**: -9.21 eV/f.u.
**Spin magnetization**: 0.0 μB/f.u.

## AgHg2Pb2 (PBE-GGA)

Data for an optimized crystal structure of AgHg2Pb2.

```
data_AgHg2Pb2
_chemical_formula_sum 'Ag2 Hg4 Pb4'
_symmetry_space_group_name_H-M 'P 4/m b m'
_symmetry_Int_Tables_number 127
_symmetry_space_group_name_Hall '-P 4 2ab'
_cell_length_a 7.477
_cell_length_b 7.477
_cell_length_c 4.813
_cell_angle_alpha 90.00
_cell_angle_beta 90.00
_cell_angle_gamma 90.00
loop_
_atom_site_label
_atom_site_type_symbol
_atom_site_fract_x
_atom_site_fract_y
_atom_site_fract_z
Ag1 Ag 0.000 0.000 0.000
Hg1 Hg 0.142 0.358 0.000
Pb1 Pb 0.169 0.669 0.500
```

Output
**Crystal system**: tetragonal
**Excess energy over the best structure of this formula in the dataset**: 5.65 kJ per mole of atoms
**Total energy**: -10.34 eV/f.u.
**Spin magnetization**: 0.0 μB/f.u.
**Energy relative to the elements**: 107 meV per atom

## BaYNF2 (PBE-GGA)

Data for an optimized crystal structure of BaYNF2.

```
data_BaYNF2
_chemical_formula_sum 'Ba1 Y1 N1 F2'
_symmetry_space_group_name_H-M 'P 4/m m m'
_symmetry_Int_Tables_number 123
_symmetry_space_group_name_Hall '-P 4 2'
_cell_length_a 4.463
_cell_length_b 4.463
_cell_length_c 4.650
_cell_angle_alpha 90.00
_cell_angle_beta 90.00
_cell_angle_gamma 90.00
loop_
_atom_site_label
_atom_site_type_symbol
_atom_site_fract_x
_atom_site_fract_y
_atom_site_fract_z
Ba1 Ba 0.000 0.000 0.000
Y1 Y 0.500 0.500 0.500
N1 N 0.500 0.500 0.000
F1 F 0.000 0.500 0.500
```

Output
**Crystal system**: tetragonal
**Uncorrected formation energy**: -2.534 eV/atom
**Excess energy over the best structure of this formula in the dataset**: 0.00 kJ per mole of atoms
**Total energy**: -33.12 eV/f.u.
**Spin magnetization**: 0.0 μB/f.u.

## NaGdCuHg (PBE-GGA)

Data for an optimized crystal structure of NaGdCuHg.

```
data_NaGdCuHg
_chemical_formula_sum 'Na4 Gd4 Cu4 Hg4'
_symmetry_space_group_name_H-M 'F -4 3 m'
_symmetry_Int_Tables_number 216
_symmetry_space_group_name_Hall 'F -4 2 3'
_cell_length_a 7.159
_cell_length_b 7.159
_cell_length_c 7.159
_cell_angle_alpha 90.00
_cell_angle_beta 90.00
_cell_angle_gamma 90.00
loop_
_atom_site_label
_atom_site_type_symbol
_atom_site_fract_x
_atom_site_fract_y
_atom_site_fract_z
Na1 Na 0.000 0.000 0.000
Gd1 Gd 0.000 0.000 0.500
Cu1 Cu 0.250 0.250 0.250
Hg1 Hg 0.250 0.250 0.750
```

Output
**Crystal system**: cubic
**Total energy**: -20.18 eV/f.u.
**Spin magnetization**: 7.3 μB/f.u.
**Energy relative to the elements**: -96 meV per atom

## LiPm2N (PBE-GGA)

Data for an optimized crystal structure of LiPm2N.

```
data_LiPm2N
_chemical_formula_sum 'Li3 Pm6 N3'
_symmetry_space_group_name_H-M 'R -3 m'
_symmetry_Int_Tables_number 166
_symmetry_space_group_name_Hall '-R 3 2"'
_cell_length_a 3.5625
_cell_length_b 3.5625
_cell_length_c 26.9703
_cell_angle_alpha 90.00
_cell_angle_beta 90.00
_cell_angle_gamma 120.00
loop_
_atom_site_label
_atom_site_type_symbol
_atom_site_fract_x
_atom_site_fract_y
_atom_site_fract_z
Li1 Li 0.0000 0.0000 0.0000
Pm1 Pm 0.0000 0.0000 0.2177
N1 N 0.0000 0.0000 0.5000
```

Output
**Crystal system**: trigonal
**Uncorrected formation energy**: -0.620 eV/atom
**Excess energy over the best structure of this formula in the dataset**: 0.00 kJ per mole of atoms
**Total energy**: -22.22 eV/f.u.
**Spin magnetization**: 0.0 μB/f.u.

## Tb5Tm12Sc2 (PBE-GGA)

Data for an optimized crystal structure of Tb5Tm12Sc2.

```
data_Tb5Tm12Sc2
_chemical_formula_sum 'Tb10 Tm24 Sc4'
_symmetry_space_group_name_H-M 'C 1 2/m 1'
_symmetry_Int_Tables_number 12
_cell_length_a 15.208
_cell_length_b 9.090
_cell_length_c 8.429
_cell_angle_alpha 90.00
_cell_angle_beta 92.17
_cell_angle_gamma 90.00
loop_
_symmetry_equiv_pos_as_xyz
'x,y,z'
'-x,-y,-z'
'-x,y,-z'
'x,-y,z'
'x+1/2,y+1/2,z'
'-x+1/2,-y+1/2,-z'
'-x+1/2,y+1/2,-z'
'x+1/2,-y+1/2,z'
loop_
_atom_site_label
_atom_site_type_symbol
_atom_site_fract_x
_atom_site_fract_y
_atom_site_fract_z
Tb1 Tb 0.000 0.000 0.000
Tb2 Tb 0.205 0.500 0.521
Tb3 Tb 0.231 0.000 0.069
Tm1 Tm 0.056 0.500 0.834
Tm2 Tm 0.073 0.000 0.374
Tm3 Tm 0.129 0.308 0.176
Tm4 Tm 0.146 0.181 0.736
Sc1 Sc 0.000 0.331 0.500
```

Output
**Crystal system**: monoclinic
**Total energy**: -87.20 eV/f.u.
**Spin magnetization**: 0.0 μB/f.u.
**Energy relative to the elements**: 120 meV per atom

## Ac3Cd5Te12 (PBE-GGA)

Data for an optimized crystal structure of Ac3Cd5Te12.

```
data_Ac3Cd5Te12
_chemical_formula_sum 'Ac24 Cd40 Te96'
_symmetry_space_group_name_H-M 'I a -3 d'
_symmetry_Int_Tables_number 230
_symmetry_space_group_name_Hall '-I 4bd 2c 3'
_cell_length_a 18.153
_cell_length_b 18.153
_cell_length_c 18.153
_cell_angle_alpha 90.00
_cell_angle_beta 90.00
_cell_angle_gamma 90.00
loop_
_atom_site_label
_atom_site_type_symbol
_atom_site_fract_x
_atom_site_fract_y
_atom_site_fract_z
Ac1 Ac 0.000 0.250 0.125
Cd1 Cd 0.000 0.000 0.000
Cd2 Cd 0.000 0.250 0.375
Te1 Te 0.023 0.065 0.651
```

Output
**Crystal system**: cubic
**Uncorrected formation energy**: -0.629 eV/atom
**Total energy**: -67.17 eV/f.u.
**Spin magnetization**: 0.0 μB/f.u.

## ScHRh3 (PBE-GGA)

Data for an optimized crystal structure of ScHRh3.

```
data_ScHRh3
_chemical_formula_sum 'Sc1 H1 Rh3'
_symmetry_space_group_name_H-M 'P 4 m m'
_symmetry_Int_Tables_number 99
_cell_length_a 3.750
_cell_length_b 3.750
_cell_length_c 6.181
_cell_angle_alpha 90.00
_cell_angle_beta 90.00
_cell_angle_gamma 90.00
loop_
_symmetry_equiv_pos_as_xyz
'x,y,z'
'-y,x,z'
'-x,-y,z'
'y,-x,z'
'-x,y,z'
'y,x,z'
'x,-y,z'
'-y,-x,z'
loop_
_atom_site_label
_atom_site_type_symbol
_atom_site_fract_x
_atom_site_fract_y
_atom_site_fract_z
Sc1 Sc 0.000 0.000 0.000
H1 H 0.500 0.500 0.262
Rh1 Rh 0.000 0.000 0.621
Rh2 Rh 0.000 0.500 0.318
```

Output
**Crystal system**: tetragonal
**Excess energy over the best structure of this formula in the dataset**: 77.46 kJ per mole of atoms
**Total energy**: -30.56 eV/f.u.
**Spin magnetization**: 0.0 μB/f.u.

## Li2HoPuSe4 (PBE-GGA)

Data for an optimized crystal structure of Li2HoPuSe4.

```
data_Li2HoPuSe4
_chemical_formula_sum 'Li2 Ho1 Pu1 Se4'
_symmetry_space_group_name_H-M 'P 1 2/m 1'
_symmetry_Int_Tables_number 10
_cell_length_a 6.893
_cell_length_b 4.096
_cell_length_c 7.096
_cell_angle_alpha 90.00
_cell_angle_beta 110.25
_cell_angle_gamma 90.00
loop_
_symmetry_equiv_pos_as_xyz
'x,y,z'
'-x,-y,-z'
'-x,y,-z'
'x,-y,z'
loop_
_atom_site_label
_atom_site_type_symbol
_atom_site_fract_x
_atom_site_fract_y
_atom_site_fract_z
Li1 Li 0.000 0.000 0.000
Li2 Li 0.000 0.500 0.500
Ho1 Ho 0.500 0.000 0.500
Pu1 Pu 0.500 0.500 0.000
Se1 Se 0.246 0.500 0.253
Se2 Se 0.247 0.000 0.745
```

Output
**Crystal system**: monoclinic
**Uncorrected formation energy**: -1.534 eV/atom
**Total energy**: -48.94 eV/f.u.
**Spin magnetization**: 5.0 μB/f.u.

## K2Cr3Te6 (PBE-GGA)

Data for an optimized crystal structure of K2Cr3Te6.

```
data_K2Cr3Te6
_chemical_formula_sum 'K4 Cr6 Te12'
_symmetry_space_group_name_H-M 'C 1 2/m 1'
_symmetry_Int_Tables_number 12
_cell_length_a 6.872
_cell_length_b 11.907
_cell_length_c 8.742
_cell_angle_alpha 90.00
_cell_angle_beta 105.20
_cell_angle_gamma 90.00
loop_
_symmetry_equiv_pos_as_xyz
'x,y,z'
'-x,-y,-z'
'-x,y,-z'
'x,-y,z'
'x+1/2,y+1/2,z'
'-x+1/2,-y+1/2,-z'
'-x+1/2,y+1/2,-z'
'x+1/2,-y+1/2,z'
loop_
_atom_site_label
_atom_site_type_symbol
_atom_site_fract_x
_atom_site_fract_y
_atom_site_fract_z
K1 K 0.000 0.167 0.000
Cr1 Cr 0.000 0.000 0.500
Cr2 Cr 0.000 0.332 0.500
Te1 Te 0.225 0.500 0.680
Te2 Te 0.228 0.166 0.680
```

Output
**Crystal system**: monoclinic
**Uncorrected formation energy**: -0.479 eV/atom
**Total energy**: -55.19 eV/f.u.
**Spin magnetization**: 8.4 μB/f.u.

Q: What is the spin magnetization in the tenth record?
A: 5.0 μB/f.u.